(1)
Here is As2CS2 after structural relaxation from the Alexandria database. Energies are from PBE.

The structure belongs to space group P4/mbm (No. 127); the cell edges are 5.5854, 5.5854 and 5.2495 Å and the angles 90.00°, 90.00° and 90.00°. The asymmetric unit holds As at (0.2456, 0.2544, 0.0000), C at (0.0000, 0.0000, 0.5000) and S at (0.2215, 0.2785, 0.5000).

The uncorrected formation energy is 1100 meV per atom. The polymorph energy (0 for the lowest one) is 180 meV per atom.

---

(2)
Here is AcTcGe after structural relaxation from the Alexandria database. Energies are from PBE.

The structure belongs to space group Cmcm (No. 63); the cell edges are 4.5648, 15.7140 and 3.9431 Å and the angles 90.00°, 90.00° and 90.00°. The asymmetric unit holds Ac at (0.0000, 0.1147, 0.2500), Tc at (0.0000, 0.2839, 0.2500) and Ge at (0.0000, 0.4481, 0.2500).

The polymorph energy (0 for the lowest one) is 626 meV per atom. As for the calculated formation energy: 0.21 eV/atom.

---

(3)
Here is ScAgPt2 after structural relaxation from the Alexandria database. Energies are from PBE.

The structure belongs to space group R3m (No. 160, hexagonal axes); the cell edges are 2.9422, 2.9422 and 27.7321 Å and the angles 90.00°, 90.00° and 120.00°. The asymmetric unit holds Sc at (0.0000, 0.0000, 0.0000), Ag at (0.0000, 0.0000, 0.2456), Pt at (0.0000, 0.0000, 0.4949) and Pt at (0.0000, 0.0000, 0.7426).

As for the calculated formation energy: -0.21 eV/atom.

---

(4)
Here is Al2InI8 after structural relaxation from the Alexandria database. Energies are from PBE.

The structure belongs to space group C2/m (No. 12); the cell edges are 14.0804, 11.1701 and 7.1658 Å and the angles 90.00°, 96.75° and 90.00°. The asymmetric unit holds Al at (0.1982, 0.0000, 0.1541), In at (0.0000, 0.0000, 0.5000), I at (0.1075, 0.1853, 0.2624), I at (0.1279, 0.5000, 0.7149) and I at (0.1928, 0.0000, 0.7915).

The uncorrected formation energy is -586 meV per atom. The polymorph energy (0 for the lowest one) is 0 meV per atom.

---

What is the formula in the third record? ScAgPt2

---

Number 1 is which compound? As2CS2